(1)
This record from the Alexandria database describes a geometry-optimized PmPr12Ho3 structure. The functional is PBE. Values from VASP.

Geometry as Quantum ESPRESSO input:
```
&SYSTEM
  ibrav = 0, nat = 16, ntyp = 3
/
ATOMIC_SPECIES
Pr 140.91 Pr.upf
Pm 145.00 Pm.upf
Ho 164.93 Ho.upf
CELL_PARAMETERS angstrom
-1.376 3.866 3.190
2.690 -2.222 3.853
16.874 10.656 -5.634
ATOMIC_POSITIONS crystal
Pr 0.500 0.500 0.251
Pm 0.000 0.000 0.000
Pr 0.500 0.000 0.873
Pr 0.500 0.000 0.127
Pr 0.000 0.500 0.873
Pr 0.500 0.000 0.376
Pr 0.000 0.500 0.127
Pr 0.500 0.500 0.500
Ho 0.000 0.000 0.251
Ho 0.000 0.000 0.749
Ho 0.000 0.000 0.500
Pr 0.500 0.500 0.749
Pr 0.500 0.500 0.000
Pr 0.000 0.500 0.376
Pr 0.500 0.000 0.624
Pr 0.000 0.500 0.624
```

Summary:
energy of formation from the pure elements: 0.01 eV per atom
Fermi-level density of states: 1.55 states/eV/atom
space-group type: P4/mmm

(2)
This record from the Alexandria database describes a geometry-optimized Pm5Pr12Ho2 structure. The functional is PBE. Values from VASP.

Geometry as Quantum ESPRESSO input:
```
&SYSTEM
  ibrav = 0, nat = 19, ntyp = 3
/
ATOMIC_SPECIES
Pm 145.00 Pm.upf
Pr 140.91 Pr.upf
Ho 164.93 Ho.upf
CELL_PARAMETERS angstrom
-2.805 -0.980 -7.577
-3.529 -8.557 1.913
-9.017 0.690 2.749
ATOMIC_POSITIONS crystal
Pm 0.910 0.657 0.657
Pr 0.613 0.832 0.381
Pm 0.090 0.343 0.343
Pr 0.711 0.447 0.447
Pr 0.387 0.168 0.619
Pr 0.898 0.130 0.130
Pr 0.207 0.960 0.412
Pm 0.481 0.758 0.758
Ho 0.000 0.269 0.731
Pm 0.519 0.242 0.242
Ho 0.000 0.731 0.269
Pr 0.793 0.588 0.040
Pr 0.289 0.553 0.553
Pr 0.102 0.870 0.870
Pm 0.500 0.000 0.000
Pr 0.793 0.040 0.588
Pr 0.387 0.619 0.168
Pr 0.207 0.412 0.960
Pr 0.613 0.381 0.832
```

Summary:
energy of formation from the pure elements: 0.12 eV per atom
energy above the lowest structure with this stoichiometry: 0.000 kcal/mol of atoms
Fermi-level density of states: 1.43 states/eV/atom
space-group type: C2/m

(3)
This record from the Alexandria database describes a geometry-optimized Pm2Pr3Ho7 structure. The functional is PBE. Values from VASP.

Geometry as Quantum ESPRESSO input:
```
&SYSTEM
  ibrav = 0, nat = 12, ntyp = 3
/
ATOMIC_SPECIES
Pr 140.91 Pr.upf
Pm 145.00 Pm.upf
Ho 164.93 Ho.upf
CELL_PARAMETERS angstrom
-2.721 -1.359 -1.918
3.606 -0.798 -4.551
3.536 -17.164 7.150
ATOMIC_POSITIONS crystal
Pr 0.000 0.777 0.632
Pm 0.500 0.711 0.292
Ho 0.500 0.807 0.828
Ho 0.500 0.257 0.538
Pm 0.500 0.289 0.708
Ho 0.000 0.691 0.143
Ho 0.000 0.000 0.000
Pr 0.000 0.223 0.368
Ho 0.500 0.743 0.462
Ho 0.000 0.309 0.857
Ho 0.500 0.193 0.172
Pr 0.500 0.500 0.000
```

Summary:
energy of formation from the pure elements: 0.09 eV per atom
energy above the lowest structure with this stoichiometry: 0.000 kcal/mol of atoms
Fermi-level density of states: 1.21 states/eV/atom
space-group type: P2/m

(4)
This record from the Alexandria database describes a geometry-optimized Pm2Pr3Ho3 structure. The functional is PBE. Values from VASP.

Geometry as Quantum ESPRESSO input:
```
&SYSTEM
  ibrav = 0, nat = 8, ntyp = 3
/
ATOMIC_SPECIES
Pm 145.00 Pm.upf
Ho 164.93 Ho.upf
Pr 140.91 Pr.upf
CELL_PARAMETERS angstrom
5.109 0.000 0.000
0.000 5.141 0.000
-2.554 -2.571 10.268
ATOMIC_POSITIONS crystal
Pm 0.751 0.251 0.501
Pm 0.249 0.749 0.499
Ho 0.625 0.625 0.250
Pr 0.876 0.876 0.752
Ho 0.375 0.375 0.750
Pr 0.000 0.500 0.000
Pr 0.124 0.124 0.248
Ho 0.500 0.000 0.000
```

Summary:
energy of formation from the pure elements: 0.02 eV per atom
energy above the lowest structure with this stoichiometry: 0.000 kcal/mol of atoms
Fermi-level density of states: 1.55 states/eV/atom
space-group type: Immm

(5)
This record from the Alexandria database describes a geometry-optimized Pm4Pr3Ho5 structure. The functional is PBE. Values from VASP.

Geometry as Quantum ESPRESSO input:
```
&SYSTEM
  ibrav = 0, nat = 12, ntyp = 3
/
ATOMIC_SPECIES
Ho 164.93 Ho.upf
Pm 145.00 Pm.upf
Pr 140.91 Pr.upf
CELL_PARAMETERS angstrom
6.007 0.000 0.000
3.003 7.607 -2.730
3.003 -0.853 9.265
ATOMIC_POSITIONS crystal
Ho 0.626 0.946 0.803
Pm 0.861 0.223 0.054
Ho 0.215 0.457 0.114
Pm 0.828 0.963 0.381
Ho 0.500 0.500 0.500
Pm 0.172 0.037 0.619
Ho 0.374 0.054 0.197
Ho 0.785 0.543 0.886
Pr 0.477 0.313 0.734
Pr 0.000 0.500 0.500
Pr 0.523 0.687 0.266
Pm 0.139 0.777 0.946
```

Summary:
energy of formation from the pure elements: 0.22 eV per atom
energy above the lowest structure with this stoichiometry: 4.692 kcal/mol of atoms
Fermi-level density of states: 1.58 states/eV/atom
space-group type: C2/m

(6)
This record from the Alexandria database describes a geometry-optimized Pm2Pr4Ho3 structure. The functional is PBE. Values from VASP.

Geometry as Quantum ESPRESSO input:
```
&SYSTEM
  ibrav = 0, nat = 9, ntyp = 3
/
ATOMIC_SPECIES
Pm 145.00 Pm.upf
Pr 140.91 Pr.upf
Ho 164.93 Ho.upf
CELL_PARAMETERS angstrom
3.641 0.000 0.000
-1.821 3.154 0.000
0.000 0.000 27.139
ATOMIC_POSITIONS crystal
Pm 0.667 0.333 0.875
Pr 0.667 0.333 0.218
Ho 0.000 0.000 0.982
Pm 0.667 0.333 0.085
Ho 0.667 0.333 0.654
Pr 0.000 0.000 0.547
Pr 0.000 0.000 0.762
Pr 0.667 0.333 0.431
Ho 0.000 0.000 0.323
```

Summary:
energy of formation from the pure elements: 0.06 eV per atom
energy above the lowest structure with this stoichiometry: 0.876 kcal/mol of atoms
Fermi-level density of states: 1.85 states/eV/atom
space-group type: P3m1

(7)
This record from the Alexandria database describes a geometry-optimized Pm2Pr7Ho structure. The functional is PBE. Values from VASP.

Geometry as Quantum ESPRESSO input:
```
&SYSTEM
  ibrav = 0, nat = 10, ntyp = 3
/
ATOMIC_SPECIES
Pr 140.91 Pr.upf
Pm 145.00 Pm.upf
Ho 164.93 Ho.upf
CELL_PARAMETERS angstrom
3.573 0.000 0.000
0.000 10.109 -2.749
0.000 -0.654 10.456
ATOMIC_POSITIONS crystal
Pr 0.500 0.500 0.500
Pr 0.500 0.128 0.381
Pm 0.500 0.832 0.168
Pr 0.000 0.322 0.678
Pr 0.500 0.619 0.872
Pr 0.500 0.872 0.619
Ho 0.000 0.000 0.000
Pm 0.500 0.168 0.832
Pr 0.000 0.678 0.322
Pr 0.500 0.381 0.128
```

Summary:
energy of formation from the pure elements: 0.36 eV per atom
energy above the lowest structure with this stoichiometry: 0.000 kcal/mol of atoms
Fermi-level density of states: 1.48 states/eV/atom
space-group type: Cmmm

(8)
This record from the Alexandria database describes a geometry-optimized Pm12Pr6Ho structure. The functional is PBE. Values from VASP.

Geometry as Quantum ESPRESSO input:
```
&SYSTEM
  ibrav = 0, nat = 19, ntyp = 3
/
ATOMIC_SPECIES
Pm 145.00 Pm.upf
Ho 164.93 Ho.upf
Pr 140.91 Pr.upf
CELL_PARAMETERS angstrom
-3.437 2.664 -9.022
-7.398 -1.999 6.448
6.561 6.615 3.674
ATOMIC_POSITIONS crystal
Pm 0.500 0.878 0.122
Pm 0.735 0.094 0.735
Pm 0.735 0.735 0.094
Ho 0.000 0.000 0.000
Pm 0.906 0.265 0.265
Pm 0.265 0.906 0.265
Pr 0.732 0.476 0.732
Pm 0.122 0.500 0.878
Pm 0.122 0.878 0.500
Pr 0.476 0.732 0.732
Pm 0.878 0.122 0.500
Pr 0.268 0.524 0.268
Pr 0.524 0.268 0.268
Pm 0.878 0.500 0.122
Pm 0.265 0.265 0.906
Pm 0.500 0.122 0.878
Pr 0.268 0.268 0.524
Pm 0.094 0.735 0.735
Pr 0.732 0.732 0.476
```

Summary:
energy of formation from the pure elements: 0.30 eV per atom
energy above the lowest structure with this stoichiometry: 3.865 kcal/mol of atoms
Fermi-level density of states: 1.69 states/eV/atom
space-group type: R-3m

How do the records compare in calculated volume? In the order shown, they have 560, 680, 398, 270, 409, 312, 371, 680 Å³/cell.